Material: NbCoTeN2
Method: DFT, PBE
State: relaxed

CIF file:
```
data_NbCoTeN2
_symmetry_space_group_name_H-M 'P 4/m m m'
_symmetry_Int_Tables_number 123
_symmetry_space_group_name_Hall '-P 4 2'
_cell_length_a 3.856
_cell_length_b 3.856
_cell_length_c 4.941
_cell_angle_alpha 90.00
_cell_angle_beta 90.00
_cell_angle_gamma 90.00
loop_
_atom_site_label
_atom_site_type_symbol
_atom_site_fract_x
_atom_site_fract_y
_atom_site_fract_z
_atom_site_occupancy
Nb1 Nb 0.000 0.000 0.000 1
Co1 Co 0.500 0.500 0.500 1
Te1 Te 0.500 0.500 0.000 1
N1 N 0.000 0.500 0.500 1
```

Output
The energy relative to the elements, uncorrected comes out at 6.163 eV per formula unit. As for the magnetization: 0.03 μB/atom. Its total energy is -0.4528 Ry/atom. As for the crystal system: tetragonal. The volume is 14.7 Å³ per atom. As for the distance to the lowest polymorph of the same formula: 562 meV/atom.


Material: NbCoTe2N
Method: DFT, PBE
State: relaxed

CIF file:
```
data_NbCoTe2N
_symmetry_space_group_name_H-M 'P 4/m m m'
_symmetry_Int_Tables_number 123
_symmetry_space_group_name_Hall '-P 4 2'
_cell_length_a 5.230
_cell_length_b 5.230
_cell_length_c 3.409
_cell_angle_alpha 90.00
_cell_angle_beta 90.00
_cell_angle_gamma 90.00
loop_
_atom_site_label
_atom_site_type_symbol
_atom_site_fract_x
_atom_site_fract_y
_atom_site_fract_z
_atom_site_occupancy
Nb1 Nb 0.000 0.000 0.000 1
Co1 Co 0.500 0.500 0.500 1
Te1 Te 0.000 0.500 0.500 1
N1 N 0.500 0.500 0.000 1
```

Output
The energy relative to the elements, uncorrected comes out at 2.051 eV per formula unit. As for the magnetization: 0.33 μB/atom. Its total energy is -0.4371 Ry/atom. As for the crystal system: tetragonal. The volume is 18.6 Å³ per atom. As for the distance to the lowest polymorph of the same formula: 0 meV/atom.


Material: NbCo2TeN
Method: DFT, PBE
State: relaxed

CIF file:
```
data_NbCo2TeN
_symmetry_space_group_name_H-M 'P 4/m m m'
_symmetry_Int_Tables_number 123
_symmetry_space_group_name_Hall '-P 4 2'
_cell_length_a 3.829
_cell_length_b 3.829
_cell_length_c 4.878
_cell_angle_alpha 90.00
_cell_angle_beta 90.00
_cell_angle_gamma 90.00
loop_
_atom_site_label
_atom_site_type_symbol
_atom_site_fract_x
_atom_site_fract_y
_atom_site_fract_z
_atom_site_occupancy
Nb1 Nb 0.000 0.000 0.000 1
Co1 Co 0.000 0.500 0.500 1
Te1 Te 0.500 0.500 0.000 1
N1 N 0.500 0.500 0.500 1
```

Output
The energy relative to the elements, uncorrected comes out at 2.362 eV per formula unit. As for the magnetization: 0.51 μB/atom. Its total energy is -0.4908 Ry/atom. As for the crystal system: tetragonal. The volume is 14.3 Å³ per atom.


Material: NbV2CoN
Method: DFT, PBE
State: relaxed

CIF file:
```
data_NbV2CoN
_symmetry_space_group_name_H-M 'P 4/m m m'
_symmetry_Int_Tables_number 123
_symmetry_space_group_name_Hall '-P 4 2'
_cell_length_a 3.849
_cell_length_b 3.849
_cell_length_c 4.270
_cell_angle_alpha 90.00
_cell_angle_beta 90.00
_cell_angle_gamma 90.00
loop_
_atom_site_label
_atom_site_type_symbol
_atom_site_fract_x
_atom_site_fract_y
_atom_site_fract_z
_atom_site_occupancy
Nb1 Nb 0.000 0.000 0.000 1
V1 V 0.000 0.500 0.500 1
Co1 Co 0.500 0.500 0.000 1
N1 N 0.000 0.000 0.500 1
```

Output
The energy relative to the elements, uncorrected comes out at -2.195 eV per formula unit. As for the magnetization: 0.05 μB/atom. Its total energy is -0.6752 Ry/atom. As for the crystal system: tetragonal. The volume is 12.7 Å³ per atom.


Material: Nb2ZnCoN
Method: DFT, PBE
State: relaxed

CIF file:
```
data_Nb2ZnCoN
_symmetry_space_group_name_H-M 'P 4/m m m'
_symmetry_Int_Tables_number 123
_symmetry_space_group_name_Hall '-P 4 2'
_cell_length_a 4.255
_cell_length_b 4.255
_cell_length_c 3.785
_cell_angle_alpha 90.00
_cell_angle_beta 90.00
_cell_angle_gamma 90.00
loop_
_atom_site_label
_atom_site_type_symbol
_atom_site_fract_x
_atom_site_fract_y
_atom_site_fract_z
_atom_site_occupancy
Nb1 Nb 0.000 0.500 0.000 1
Zn1 Zn 0.000 0.000 0.500 1
Co1 Co 0.500 0.500 0.500 1
N1 N 0.500 0.500 0.000 1
```

Output
The energy relative to the elements, uncorrected comes out at -1.714 eV per formula unit. As for the magnetization: 0.26 μB/atom. Its total energy is -0.5668 Ry/atom. As for the crystal system: tetragonal. The volume is 13.7 Å³ per atom.


Material: NdCoN2
Method: DFT, PBE
State: relaxed

CIF file:
```
data_NdCoN2
_symmetry_space_group_name_H-M 'R -3 m'
_symmetry_Int_Tables_number 166
_symmetry_space_group_name_Hall '-R 3 2"'
_cell_length_a 3.9245
_cell_length_b 3.9245
_cell_length_c 15.9334
_cell_angle_alpha 90.00
_cell_angle_beta 90.00
_cell_angle_gamma 120.00
loop_
_atom_site_label
_atom_site_type_symbol
_atom_site_fract_x
_atom_site_fract_y
_atom_site_fract_z
_atom_site_occupancy
Nd1 Nd 0.0000 0.0000 0.0000 1
Co1 Co 0.0000 0.0000 0.5000 1
N1 N 0.0000 0.0000 0.3954 1
```

Output
The energy relative to the elements, uncorrected comes out at -0.684 eV per formula unit. As for the magnetization: 0.07 μB/atom. Its total energy is -0.5367 Ry/atom. As for the crystal system: trigonal. The volume is 17.7 Å³ per atom.


Material: Nd2Co17N2
Method: DFT, PBE
State: relaxed

CIF file:
```
data_Nd2Co17N2
_symmetry_space_group_name_H-M 'C 1 2/m 1'
_symmetry_Int_Tables_number 12
_symmetry_space_group_name_Hall '-C 2y'
_cell_length_a 9.509
_cell_length_b 8.542
_cell_length_c 6.449
_cell_angle_alpha 90.00
_cell_angle_beta 98.49
_cell_angle_gamma 90.00
loop_
_atom_site_label
_atom_site_type_symbol
_atom_site_fract_x
_atom_site_fract_y
_atom_site_fract_z
_atom_site_occupancy
Nd1 Nd 0.152 0.000 0.342 1
Co1 Co 0.000 0.220 0.000 1
Co2 Co 0.000 0.500 0.500 1
Co3 Co 0.096 0.500 0.907 1
Co4 Co 0.101 0.258 0.662 1
Co5 Co 0.140 0.360 0.278 1
Co6 Co 0.154 0.000 0.869 1
Co7 Co 0.250 0.250 0.000 1
N1 N 0.250 0.250 0.500 1
```

Output
The energy relative to the elements, uncorrected comes out at -2.140 eV per formula unit. As for the magnetization: 1.21 μB/atom. Its total energy is -0.5219 Ry/atom. As for the crystal system: monoclinic. The volume is 12.3 Å³ per atom.


Material: Nd2CoN
Method: DFT, PBE
State: relaxed

CIF file:
```
data_Nd2CoN
_symmetry_space_group_name_H-M 'R -3 m'
_symmetry_Int_Tables_number 166
_symmetry_space_group_name_Hall '-R 3 2"'
_cell_length_a 3.6576
_cell_length_b 3.6576
_cell_length_c 20.6266
_cell_angle_alpha 90.00
_cell_angle_beta 90.00
_cell_angle_gamma 120.00
loop_
_atom_site_label
_atom_site_type_symbol
_atom_site_fract_x
_atom_site_fract_y
_atom_site_fract_z
_atom_site_occupancy
Nd1 Nd 0.0000 0.0000 0.2376 1
Co1 Co 0.0000 0.0000 0.0000 1
N1 N 0.0000 0.0000 0.5000 1
```

Output
The energy relative to the elements, uncorrected comes out at -1.744 eV per formula unit. As for the magnetization: 0.12 μB/atom. Its total energy is -0.4908 Ry/atom. As for the crystal system: trigonal. The volume is 19.9 Å³ per atom.